# Mg30AlNiO32, optimized geometry, DFT GGA+U
data_Mg30AlNiO32
_chemical_formula_sum 'Mg30 Al1 Ni1 O32'
_space_group_name_H-M_alt 'P 4/m m m'
_space_group_IT_number 123
_space_group_name_Hall '-P 4 2'
_cell_length_a 8.521
_cell_length_b 8.521
_cell_length_c 8.476
_cell_angle_alpha 90.00
_cell_angle_beta 90.00
_cell_angle_gamma 90.00
loop_
_atom_site_label
_atom_site_fract_x
_atom_site_fract_y
_atom_site_fract_z
Mg1 0.000 0.000 0.000
Mg2 0.000 0.247 0.253
Mg3 0.000 0.500 0.000
Mg4 0.000 0.500 0.500
Mg5 0.246 0.246 0.500
Mg6 0.249 0.249 0.000
Mg7 0.249 0.500 0.250
Mg8 0.500 0.500 0.000
Al1 0.500 0.500 0.500
Ni1 0.000 0.000 0.500
O1 0.000 0.000 0.243
O2 0.000 0.252 0.000
O3 0.000 0.267 0.500
O4 0.000 0.500 0.250
O5 0.250 0.250 0.251
O6 0.253 0.500 0.000
O7 0.268 0.500 0.500
O8 0.500 0.500 0.264
# **Density**: 3580 kg/m3
# **Size of the total moment**: 1.000 Bohr magnetons per cell
# **Total energy**: -5.97 eV per atom